A plane-wave DFT calculation with PBE was carried out for crystalline Er8NiPd2 at its relaxed geometry.

Cell and atoms, written as CIF:
```
data_Er8NiPd2
_cell_length_a 6.708
_cell_length_b 17.313
_cell_length_c 5.497
_cell_angle_alpha 90.00
_cell_angle_beta 117.26
_cell_angle_gamma 90.00
_space_group_name_H-M_alt 'C 1 m 1'
_space_group_IT_number 8
_space_group_name_Hall 'C -2y'
loop_
_atom_site_label
_atom_site_fract_x
_atom_site_fract_y
_atom_site_fract_z
Er1 0.000 0.000 0.000
Er2 0.008 0.500 0.194
Er3 0.057 0.382 0.737
Er4 0.256 0.201 0.099
Er5 0.463 0.383 0.464
Ni1 0.264 0.000 0.582
Pd1 0.260 0.253 0.601
```

Calculated values
final energy	-5.156	eV/atom
energy above the lowest structure with this stoichiometry	25	meV/atom
total magnetization	0.00	μB/f.u.
ΔH_f (0 K)	-35.5	kJ/mol of atoms

=====

A plane-wave DFT calculation with PBE was carried out for crystalline ErNiPd2 at its relaxed geometry.

Cell and atoms, written as CIF:
```
data_ErNiPd2
_cell_length_a 4.064
_cell_length_b 4.064
_cell_length_c 3.958
_cell_angle_alpha 90.00
_cell_angle_beta 90.00
_cell_angle_gamma 90.00
_space_group_name_H-M_alt 'P 4/m m m'
_space_group_IT_number 123
_space_group_name_Hall '-P 4 2'
loop_
_atom_site_label
_atom_site_fract_x
_atom_site_fract_y
_atom_site_fract_z
Er1 0.000 0.000 0.000
Ni1 0.500 0.500 0.000
Pd1 0.000 0.500 0.500
```

Calculated values
final energy	-5.858	eV/atom
total magnetization	0.45	μB/f.u.
ΔH_f (0 K)	-65.2	kJ/mol of atoms

=====

A plane-wave DFT calculation with PBE was carried out for crystalline Er2Ni9Pd at its relaxed geometry.

Cell and atoms, written as CIF:
```
data_Er2Ni9Pd
_cell_length_a 4.9021
_cell_length_b 4.9021
_cell_length_c 23.7103
_cell_angle_alpha 90.00
_cell_angle_beta 90.00
_cell_angle_gamma 120.00
_space_group_name_H-M_alt 'R -3 m'
_space_group_IT_number 166
_space_group_name_Hall '-R 3 2"'
loop_
_atom_site_label
_atom_site_fract_x
_atom_site_fract_y
_atom_site_fract_z
Er1 0.0000 0.0000 0.1331
Ni1 0.0000 0.0000 0.3332
Ni2 0.0000 0.0000 0.5000
Ni3 0.0016 0.5008 0.9181
Pd1 0.0000 0.0000 0.0000
```

Calculated values
final energy	-5.752	eV/atom
total magnetization	2.92	μB/f.u.
ΔH_f (0 K)	-21.5	kJ/mol of atoms

=====

A plane-wave DFT calculation with PBE was carried out for crystalline Er2NiPd at its relaxed geometry.

Cell and atoms, written as CIF:
```
data_Er2NiPd
_cell_length_a 3.404
_cell_length_b 3.404
_cell_length_c 6.878
_cell_angle_alpha 90.00
_cell_angle_beta 90.00
_cell_angle_gamma 90.00
_space_group_name_H-M_alt 'P 4/m m m'
_space_group_IT_number 123
_space_group_name_Hall '-P 4 2'
loop_
_atom_site_label
_atom_site_fract_x
_atom_site_fract_y
_atom_site_fract_z
Er1 0.000 0.000 0.239
Ni1 0.500 0.500 0.000
Pd1 0.500 0.500 0.500
```

Calculated values
final energy	-5.691	eV/atom
energy above the lowest structure with this stoichiometry	33	meV/atom
total magnetization	0.00	μB/f.u.
ΔH_f (0 K)	-64.3	kJ/mol of atoms

=====

A plane-wave DFT calculation with PBE was carried out for crystalline Er6Ni2Pd at its relaxed geometry.

Cell and atoms, written as CIF:
```
data_Er6Ni2Pd
_cell_length_a 9.328
_cell_length_b 9.383
_cell_length_c 9.596
_cell_angle_alpha 90.00
_cell_angle_beta 90.00
_cell_angle_gamma 90.00
_space_group_name_H-M_alt 'I m m m'
_space_group_IT_number 71
_space_group_name_Hall '-I 2 2'
loop_
_atom_site_label
_atom_site_fract_x
_atom_site_fract_y
_atom_site_fract_z
Er1 0.000 0.189 0.247
Er2 0.191 0.500 0.173
Er3 0.228 0.322 0.500
Ni1 0.000 0.342 0.000
Ni2 0.000 0.500 0.380
Pd1 0.000 0.000 0.000
Pd2 0.000 0.000 0.500
```

Calculated values
final energy	-5.334	eV/atom
total magnetization	0.00	μB/f.u.
ΔH_f (0 K)	-41.6	kJ/mol of atoms

=====

A plane-wave DFT calculation with PBE was carried out for crystalline Er2NiPd at its relaxed geometry.

Cell and atoms, written as CIF:
```
data_Er2NiPd
_cell_length_a 3.9355
_cell_length_b 3.9355
_cell_length_c 19.7296
_cell_angle_alpha 90.00
_cell_angle_beta 90.00
_cell_angle_gamma 120.00
_space_group_name_H-M_alt 'R -3 m'
_space_group_IT_number 166
_space_group_name_Hall '-R 3 2"'
loop_
_atom_site_label
_atom_site_fract_x
_atom_site_fract_y
_atom_site_fract_z
Er1 0.0000 0.0000 0.2442
Ni1 0.0000 0.0000 0.5000
Pd1 0.0000 0.0000 0.0000
```

Calculated values
final energy	-5.521	eV/atom
energy above the lowest structure with this stoichiometry	203	meV/atom
total magnetization	0.00	μB/f.u.
ΔH_f (0 K)	-47.9	kJ/mol of atoms